*P*
# Tb3Sm8

An optimized crystal structure of Tb3Sm8 (GGA-PBE, the Alexandria database).

space group: R-3 (148)

a b c (Å): 7.5865 7.5865 7.5865
angles (deg): 105.51 105.51 105.51
Closest atoms and distances in Å follow each position.
Element x y z (fractional)
1 Tb 0.0000 0.5000 0.5000  6 Sm 3.22-3.54
2 Tb 0.5000 0.0000 0.5000  6 Sm 3.22-3.54
3 Tb 0.5000 0.5000 0.0000  6 Sm 3.22-3.54
4 Sm 0.0703 0.1767 0.6836  3 Sm 3.00-3.16, 2 Tb 3.22-3.29
5 Sm 0.1767 0.6836 0.0703  3 Sm 3.00-3.16, 2 Tb 3.22-3.29
6 Sm 0.2668 0.2668 0.2668  3 Tb 3.54, 3 Sm 3.82
7 Sm 0.3164 0.9297 0.8233  3 Sm 3.00-3.16, 2 Tb 3.22-3.29
8 Sm 0.6836 0.0703 0.1767  3 Sm 3.00-3.16, 2 Tb 3.22-3.29
9 Sm 0.7332 0.7332 0.7332  3 Tb 3.54, 3 Sm 3.82
10 Sm 0.8233 0.3164 0.9297  3 Sm 3.00-3.16, 2 Tb 3.22-3.29
11 Sm 0.9297 0.8233 0.3164  3 Sm 3.00-3.16, 2 Tb 3.22-3.29

=====

*Q*
# Tb3Sm8

An optimized crystal structure of Tb3Sm8 (GGA-PBE, the Alexandria database).

space group: R-3 (148)

a b c (Å): 7.2420 7.2420 7.2420
angles (deg): 84.79 84.79 84.79
Closest atoms and distances in Å follow each position.
Element x y z (fractional)
1 Tb 0.0000 0.5000 0.5000  6 Sm 2.90-3.24
2 Tb 0.5000 0.0000 0.5000  6 Sm 2.90-3.24
3 Tb 0.5000 0.5000 0.0000  6 Sm 2.90-3.24
4 Sm 0.1155 0.8499 0.6938  2 Tb 3.21-3.24
5 Sm 0.1501 0.3062 0.8845  2 Tb 3.21-3.24
6 Sm 0.3062 0.8845 0.1501  2 Tb 3.21-3.24
7 Sm 0.3830 0.3830 0.3830  3 Tb 2.90, 1 Sm 3.19
8 Sm 0.6170 0.6170 0.6170  3 Tb 2.90, 1 Sm 3.19
9 Sm 0.6938 0.1155 0.8499  2 Tb 3.21-3.24
10 Sm 0.8499 0.6938 0.1155  2 Tb 3.21-3.24
11 Sm 0.8845 0.1501 0.3062  2 Tb 3.21-3.24

=====

Looking at the structures above, which would you pick as the most stable? I would pick *P*.